{
  "formula": "LaThOsCl",
  "functional": "GGA-PBE",
  "state": "optimized geometry",
  "sg": "R3m (160)",
  "n_ef_per_ev_fu": 1.4,
  "formation_energy_uncorrected_ev_per_atom": -0.912,
  "lattice_angstrom": [[2.0721, 1.1963, 7.8202], [-2.0721, 1.1963, 7.8202], [0.0000, -2.3927, 7.8202]],
  "species": ["La", "Th", "Os", "Cl"],
  "frac_coords": [[0.0000, 0.0000, 0.0000], [0.7964, 0.7964, 0.7964], [0.4031, 0.4031, 0.4031], [0.2300, 0.2300, 0.2300]]
}